1.
MoSeCl2: relaxed, PBE-GGA.

Crystal system   orthorhombic
Relative energy among the computed polymorphs   4.33 eV/f.u.
Formation energy from raw total energies   11.923 kcal/mol of atoms

a b c (Å): 3.1894 4.4887 5.3670
angles (deg): 90.00 90.00 90.00
Space group Pmmm (No. 47)
Inequivalent atoms, fractional coordinates:
Mo: 0.0000 0.0000 0.0000 x1
Se: 0.5000 0.0000 0.5000 x1
Cl: 0.0000 0.5000 0.5000 x1
Cl: 0.5000 0.5000 0.0000 x1

---

2.
Pr2DySi3Pt12: relaxed, PBE-GGA.

Crystal system   trigonal
Formation energy from raw total energies   -12.585 kcal/mol of atoms

a b c (Å): 8.3486 8.3486 18.2208
angles (deg): 90.00 90.00 120.00
Space group R-3m (No. 166, hexagonal axes)
Inequivalent atoms, fractional coordinates:
Pr: 0.0000 0.0000 0.0997 x6
Dy: 0.0000 0.0000 0.5000 x3
Si: 0.0000 0.5000 0.0000 x9
Pt: 0.0289 0.5145 0.8709 x18
Pt: 0.0347 0.5173 0.3656 x18